# 1
Density functional theory data (PBE) for a relaxed CaDyTeO6 crystal.

Cell and atoms, written as POSCAR:
```
CaDyTeO6
1.0
5.680 0.000 0.000
-2.840 4.919 0.000
0.000 0.000 9.401
Ca Dy Te O
2 2 2 12
direct
0.000 0.000 0.000 Ca
0.000 0.000 0.500 Ca
0.333 0.667 0.250 Dy
0.667 0.333 0.750 Dy
0.333 0.667 0.750 Te
0.667 0.333 0.250 Te
0.045 0.380 0.636 O
0.045 0.664 0.864 O
0.336 0.380 0.864 O
0.336 0.955 0.636 O
0.380 0.045 0.136 O
0.380 0.336 0.364 O
0.620 0.664 0.636 O
0.620 0.955 0.864 O
0.664 0.045 0.364 O
0.664 0.620 0.136 O
0.955 0.336 0.136 O
0.955 0.620 0.364 O
```

Raw formation energy: -200.3 kJ per mole of atoms
Calculated total energy: -116.36 eV per cell

---

# 2
Density functional theory data (PBE) for a relaxed NdDySiPd crystal.

Cell and atoms, written as POSCAR:
```
NdDySiPd
1.0
0.000 3.585 3.585
3.585 0.000 3.585
3.585 3.585 0.000
Nd Dy Si Pd
1 1 1 1
direct
0.000 0.000 0.000 Nd
0.500 0.500 0.500 Dy
0.250 0.250 0.250 Si
0.750 0.750 0.750 Pd
```

ΔE to the lowest computed polymorph: 127 meV per atom
Raw formation energy: -63.9 kJ per mole of atoms
Calculated total energy: -22.63 eV per cell

---

# 3
Density functional theory data (PBE) for a relaxed Hg2TeBr crystal.

Cell and atoms, written as POSCAR:
```
Hg2TeBr
1.0
4.681 0.000 0.000
-1.995 7.576 0.000
-1.725 -0.465 8.134
Hg Te Br
4 2 2
direct
0.000 0.000 0.000 Hg
0.018 0.519 0.359 Hg
0.591 0.438 0.915 Hg
0.697 0.938 0.498 Hg
0.450 0.088 0.821 Te
0.691 0.705 0.152 Te
0.083 0.567 0.691 Br
0.269 0.259 0.320 Br
```

ΔE to the lowest computed polymorph: 31 meV per atom
Raw formation energy: -21.7 kJ per mole of atoms
Calculated total energy: -12.64 eV per cell

---

# 4
Density functional theory data (PBE) for a relaxed Cs2Tl6InPd crystal.

Cell and atoms, written as POSCAR:
```
Cs2Tl6InPd
1.0
7.655 0.000 0.000
3.820 6.644 0.000
3.818 -2.193 7.034
Cs Tl In Pd
2 6 1 1
direct
0.134 0.184 0.051 Cs
0.866 0.816 0.949 Cs
0.019 0.333 0.633 Tl
0.299 0.851 0.367 Tl
0.486 0.348 0.365 Tl
0.514 0.652 0.635 Tl
0.701 0.149 0.633 Tl
0.981 0.667 0.367 Tl
0.500 0.500 0.000 In
0.500 0.000 0.500 Pd
```

Energy of formation from the pure elements: -0.077 eV/atom
Calculated total energy: -24.61 eV per cell

---

# 5
Density functional theory data (PBE) for a relaxed Sm6Sb3TeP2 crystal.

Cell and atoms, written as POSCAR:
```
Sm6Sb3TeP2
1.0
9.462 -2.164 0.000
9.462 2.164 0.000
-2.006 0.000 8.508
Sm Sb Te P
6 3 1 2
direct
0.010 0.010 0.261 Sm
0.327 0.327 0.429 Sm
0.328 0.328 0.896 Sm
0.672 0.672 0.104 Sm
0.673 0.673 0.571 Sm
0.990 0.990 0.739 Sm
0.162 0.162 0.833 Sb
0.500 0.500 0.500 Sb
0.838 0.838 0.167 Sb
0.500 0.500 0.000 Te
0.169 0.169 0.336 P
0.831 0.831 0.664 P
```

Raw formation energy: -129.7 kJ per mole of atoms
Calculated total energy: -70.77 eV per cell

---

# 6
Density functional theory data (PBE) for a relaxed FeCoHIr2 crystal.

Cell and atoms, written as POSCAR:
```
FeCoHIr2
1.0
3.837 0.000 0.000
0.000 3.837 0.000
0.000 0.000 3.739
Fe Co H Ir
1 1 1 2
direct
0.000 0.000 0.000 Fe
0.500 0.500 0.000 Co
0.000 0.000 0.500 H
0.000 0.500 0.500 Ir
0.500 0.000 0.500 Ir
```

ΔE to the lowest computed polymorph: 45 meV per atom
Calculated total energy: -36.03 eV per cell

---

# 7
Density functional theory data (PBE) for a relaxed KCrSe2 crystal.

Cell and atoms, written as POSCAR:
```
KCrSe2
1.0
3.871 0.000 0.000
-1.936 3.353 0.000
0.000 0.000 7.989
K Cr Se
1 1 2
direct
0.000 0.000 0.000 K
0.667 0.333 0.554 Cr
0.000 0.000 0.393 Se
0.333 0.667 0.722 Se
```

Raw formation energy: -70.8 kJ per mole of atoms
Calculated total energy: -20.63 eV per cell

---

# 8
Density functional theory data (PBE) for a relaxed Ag2PS5 crystal.

Cell and atoms, written as POSCAR:
```
Ag2PS5
1.0
6.545 0.000 0.000
3.261 6.034 0.000
3.272 1.641 5.812
Ag P S
2 1 5
direct
0.000 0.000 0.000 Ag
0.476 0.524 0.525 Ag
0.631 0.528 0.997 P
0.077 0.748 0.777 S
0.289 0.681 0.207 S
0.651 0.317 0.844 S
0.775 0.801 0.723 S
0.841 0.325 0.199 S
```

Raw formation energy: -6.0 kJ per mole of atoms
Calculated total energy: -32.24 eV per cell

---

Number 1: spin magnetization 1.04 μB per formula unit. Number 2: spin magnetization 0.00 μB per formula unit. Number 3: spin magnetization 0.00 μB per formula unit. Number 4: spin magnetization 0.00 μB per formula unit. Number 5: spin magnetization 0.00 μB per formula unit. Number 6: spin magnetization 4.37 μB per formula unit. Number 7: spin magnetization 3.00 μB per formula unit. Number 8: spin magnetization 0.00 μB per formula unit.